Entry 1:
# Li2VGaO4

An optimized crystal structure of Li2VGaO4 (PBE with a Hubbard U, Alexandria via LeMat-Bulk).

## Properties
Raw total energy = -50.16 eV per formula unit

Lattice parameters (Å, degrees): 4.062 4.062 8.954 90.00 90.00 90.00
Space group I-4m2 (No. 119)
One atom of each set of equivalent atoms:
Li 0.000 0.000 0.000 [2 per cell]
Li 0.000 0.500 0.250 [2 per cell]
V 0.000 0.500 0.750 [2 per cell]
Ga 0.000 0.000 0.500 [2 per cell]
O 0.000 0.000 0.274 [4 per cell]
O 0.000 0.500 0.516 [4 per cell]

=====

Entry 2:
# YCrF

An optimized crystal structure of YCrF (PBE with a Hubbard U, Alexandria via LeMat-Bulk).

## Properties
Raw total energy = -19.79 eV per formula unit

Lattice parameters (Å, degrees): 3.551 18.556 3.777 90.00 90.00 90.00
Space group Cmcm (No. 63)
One atom of each set of equivalent atoms:
Y 0.000 0.165 0.250 [4 per cell]
Cr 0.000 0.440 0.250 [4 per cell]
F 0.000 0.243 0.750 [4 per cell]